1.
First-principles (GGA-PBEsol) data for Ag2PtAu after structural relaxation, as listed in Alexandria.

Computed properties:
formation energy: 0.0039 eV/atom
ΔE to the lowest computed polymorph: 46 meV per atom
D(E_F): 0.39 states/eV/atom

Cell and atoms, written as CIF:
```
data_Ag2PtAu
_chemical_formula_sum 'Ag2 Pt1 Au1'
_symmetry_space_group_name_H-M 'P 1'
_symmetry_Int_Tables_number 1
_cell_length_a 2.811
_cell_length_b 2.811
_cell_length_c 8.159
_cell_angle_alpha 90.00
_cell_angle_beta 90.00
_cell_angle_gamma 90.00
loop_
_symmetry_equiv_pos_as_xyz
'x,y,z'
loop_
_atom_site_label
_atom_site_type_symbol
_atom_site_fract_x
_atom_site_fract_y
_atom_site_fract_z
Ag1 Ag 0.500 0.500 0.249
Pt1 Pt 0.500 0.500 0.752
Ag2 Ag 0.000 0.000 0.996
Au1 Au 0.000 0.000 0.504
```

2.
First-principles (GGA-PBEsol) data for Li2AgGe2 after structural relaxation, as listed in Alexandria.

Computed properties:
formation energy: -0.1908 eV/atom
D(E_F): 0.22 states/eV/atom

Cell and atoms, written as CIF:
```
data_Li2AgGe2
_chemical_formula_sum 'Li4 Ag2 Ge4'
_symmetry_space_group_name_H-M 'P 1'
_symmetry_Int_Tables_number 1
_cell_length_a 3.244
_cell_length_b 6.974
_cell_length_c 6.974
_cell_angle_alpha 90.00
_cell_angle_beta 90.00
_cell_angle_gamma 90.00
loop_
_symmetry_equiv_pos_as_xyz
'x,y,z'
loop_
_atom_site_label
_atom_site_type_symbol
_atom_site_fract_x
_atom_site_fract_y
_atom_site_fract_z
Li1 Li 0.500 0.675 0.825
Ge1 Ge 0.000 0.127 0.373
Ag1 Ag 0.000 0.500 0.500
Ag2 Ag 0.000 0.000 0.000
Li2 Li 0.500 0.825 0.325
Ge2 Ge 0.000 0.373 0.873
Ge3 Ge 0.000 0.873 0.627
Ge4 Ge 0.000 0.627 0.127
Li3 Li 0.500 0.175 0.675
Li4 Li 0.500 0.325 0.175
```

3.
First-principles (GGA-PBEsol) data for Cr2SiAg after structural relaxation, as listed in Alexandria.

Computed properties:
D(E_F): 0.43 states/eV/atom
total energy: -7.204 eV/atom

Cell and atoms, written as CIF:
```
data_Cr2SiAg
_chemical_formula_sum 'Cr2 Si1 Ag1'
_symmetry_space_group_name_H-M 'P 1'
_symmetry_Int_Tables_number 1
_cell_length_a 2.904
_cell_length_b 2.904
_cell_length_c 6.288
_cell_angle_alpha 90.00
_cell_angle_beta 90.00
_cell_angle_gamma 90.00
loop_
_symmetry_equiv_pos_as_xyz
'x,y,z'
loop_
_atom_site_label
_atom_site_type_symbol
_atom_site_fract_x
_atom_site_fract_y
_atom_site_fract_z
Cr1 Cr 0.000 0.000 0.050
Ag1 Ag 0.500 0.500 0.745
Cr2 Cr 0.500 0.500 0.244
Si1 Si 0.000 0.000 0.461
```

4.
First-principles (GGA-PBEsol) data for HfNbHgGe2 after structural relaxation, as listed in Alexandria.

Computed properties:
formation energy: 0.9834 eV/atom
D(E_F): 0.95 states/eV/atom

Cell and atoms, written as CIF:
```
data_HfNbHgGe2
_chemical_formula_sum 'Hf1 Nb1 Hg1 Ge2'
_symmetry_space_group_name_H-M 'P 1'
_symmetry_Int_Tables_number 1
_cell_length_a 4.928
_cell_length_b 5.053
_cell_length_c 5.053
_cell_angle_alpha 90.00
_cell_angle_beta 90.00
_cell_angle_gamma 90.00
loop_
_symmetry_equiv_pos_as_xyz
'x,y,z'
loop_
_atom_site_label
_atom_site_type_symbol
_atom_site_fract_x
_atom_site_fract_y
_atom_site_fract_z
Nb1 Nb 0.500 0.000 0.000
Hg1 Hg 0.500 0.500 0.500
Ge1 Ge 0.000 0.500 0.000
Hf1 Hf 0.000 0.000 0.000
Ge2 Ge 0.000 0.000 0.500
```